Material: KNbZn
Method: DFT, GGA-PBE
State: optimized geometry

Results
The calculation puts the energy above the most stable polymorph in this dataset at 21 kJ/mol of formula units. As for the total energy: -23.06 eV per cell.

a = 4.481 Å, b = 11.750 Å, c = 4.480 Å
α = 84.63°, β = 60.06°, γ = 95.51°
Atoms (fractional coordinates):
Zn1 0.622 0.574 0.275
Zn2 0.734 0.798 0.164
Nb1 0.345 0.686 0.886
Nb2 0.011 0.686 0.553
K1 0.854 0.370 0.709
K2 0.170 0.002 0.397